# Sr3Sn5Cl12

An optimized crystal structure of Sr3Sn5Cl12 (PBE, Alexandria).

calculated volume: 34.72 A^3/atom
raw formation energy: -1.151 eV per atom

a = 17.711 Å, b = 17.711 Å, c = 17.711 Å
α = 90.00°, β = 90.00°, γ = 90.00°
Space group Ia-3d (No. 230)
Symmetry-distinct sites (fractional):
Sr 0.000 0.250 0.125 x24
Sn 0.000 0.000 0.000 x16
Sn 0.000 0.250 0.375 x24
Cl 0.002 0.057 0.656 x96


# Sr

An optimized crystal structure of Sr (PBE, Alexandria).

formation energy from the elements: 0.000 eV per atom
E above lowest polymorph: 0.0 kJ/mol of formula units
calculated volume: 54.50 A^3/atom

a = 4.2381 Å, b = 4.2381 Å, c = 14.0136 Å
α = 90.00°, β = 90.00°, γ = 120.00°
Space group P6_3/mmc (No. 194)
Symmetry-distinct sites (fractional):
Sr 0.0000 0.0000 0.0000 x2
Sr 0.3333 0.6667 0.2500 x2


# PmMgZn5Au2

An optimized crystal structure of PmMgZn5Au2 (PBE, Alexandria).

formation energy from the elements: -0.106 eV per atom
calculated volume: 20.30 A^3/atom

a = 4.848 Å, b = 4.848 Å, c = 7.773 Å
α = 90.00°, β = 90.00°, γ = 90.00°
Space group P4/mmm (No. 123)
Symmetry-distinct sites (fractional):
Pm 0.000 0.000 0.000 x1
Mg 0.000 0.000 0.500 x1
Zn 0.000 0.500 0.240 x4
Zn 0.500 0.500 0.000 x1
Au 0.500 0.500 0.329 x2


# NaTlBi3

An optimized crystal structure of NaTlBi3 (PBE, Alexandria).

formation energy from the elements: 0.456 eV per atom
E above lowest polymorph: 265.9 kJ/mol of formula units
calculated volume: 35.67 A^3/atom

a = 5.629 Å, b = 5.629 Å, c = 5.629 Å
α = 90.00°, β = 90.00°, γ = 90.00°
Space group Pm-3m (No. 221)
Symmetry-distinct sites (fractional):
Na 0.000 0.000 0.000 x1
Tl 0.500 0.500 0.500 x1
Bi 0.000 0.000 0.500 x3


# AcNbSb

An optimized crystal structure of AcNbSb (PBE, Alexandria).

calculated volume: 30.58 A^3/atom
raw formation energy: -0.014 eV per atom

a = 12.017 Å, b = 3.737 Å, c = 8.545 Å
α = 90.00°, β = 106.96°, γ = 90.00°
Space group C2/m (No. 12)
Symmetry-distinct sites (fractional):
Ac 0.147 0.000 0.148 x4
Nb 0.162 0.500 0.495 x4
Sb 0.063 0.500 0.763 x4


# Mg6H2Ir

An optimized crystal structure of Mg6H2Ir (PBE, Alexandria).

E above lowest polymorph: 63.4 kJ/mol of formula units
calculated volume: 16.49 A^3/atom

a = 5.403 Å, b = 5.486 Å, c = 5.733 Å
α = 118.15°, β = 90.88°, γ = 96.48°
Space group P1 (No. 1)
Symmetry-distinct sites (fractional):
Mg 0.000 0.000 0.000 x1
Mg 0.000 0.000 0.500 x1
Mg 0.260 0.564 0.091 x1
Mg 0.472 0.822 0.693 x1
Mg 0.529 0.181 0.308 x1
Mg 0.742 0.437 0.910 x1
H 0.263 0.423 0.610 x1
H 0.740 0.577 0.391 x1
Ir 0.002 0.500 0.500 x1


# DyY8Tm3

An optimized crystal structure of DyY8Tm3 (PBE, Alexandria).

formation energy from the elements: 0.196 eV per atom
calculated volume: 32.90 A^3/atom

a = 6.938 Å, b = 11.551 Å, c = 9.853 Å
α = 90.00°, β = 90.00°, γ = 90.00°
Space group Cmmm (No. 65)
Symmetry-distinct sites (fractional):
Dy 0.000 0.000 0.000 x2
Y 0.000 0.251 0.188 x8
Y 0.250 0.000 0.313 x8
Tm 0.000 0.500 0.000 x2
Tm 0.250 0.250 0.500 x4


# PuInGeAu

An optimized crystal structure of PuInGeAu (PBE, Alexandria).

formation energy from the elements: -0.306 eV per atom
calculated volume: 22.01 A^3/atom

a = 7.062 Å, b = 7.062 Å, c = 7.062 Å
α = 90.00°, β = 90.00°, γ = 90.00°
Space group F-43m (No. 216)
Symmetry-distinct sites (fractional):
Pu 0.000 0.000 0.000 x4
In 0.000 0.000 0.500 x4
Ge 0.250 0.250 0.250 x4
Au 0.250 0.250 0.750 x4


Q: What is the calculated volume in the seventh record?
A: 32.90 A^3/atom


Q: What is the calculated volume in the fifth record?
A: 30.58 A^3/atom


Q: calculated volume of number 3 (PmMgZn5Au2)?
A: 20.30 A^3/atom